(1)
Compound: LiSn2P3O10
Source: Alexandria
Functional: PBE
Structure: relaxed

Lattice parameters (Å, degrees): 7.959 7.959 10.301 113.88 113.88 78.85
Fractional positions:
Li 0.184 0.816 0.750
Li 0.816 0.184 0.250
Sn 0.272 0.368 0.891
Sn 0.368 0.272 0.391
Sn 0.632 0.728 0.609
Sn 0.728 0.632 0.109
P 0.086 0.914 0.250
P 0.122 0.644 0.395
P 0.356 0.878 0.105
P 0.644 0.122 0.895
P 0.878 0.356 0.605
P 0.914 0.086 0.750
O 0.089 0.350 0.664
O 0.119 0.119 0.328
O 0.119 0.119 0.828
O 0.181 0.816 0.370
O 0.184 0.819 0.130
O 0.196 0.468 0.293
O 0.219 0.681 0.563
O 0.319 0.781 0.937
O 0.350 0.089 0.164
O 0.468 0.196 0.793
O 0.532 0.804 0.207
O 0.650 0.911 0.836
O 0.681 0.219 0.063
O 0.781 0.319 0.437
O 0.804 0.532 0.707
O 0.816 0.181 0.870
O 0.819 0.184 0.630
O 0.881 0.881 0.172
O 0.881 0.881 0.672
O 0.911 0.650 0.336

As for the magnetic moment: 0.000 μB/atom. As for the formation energy (no corrections): -2.005 eV per atom. As for the distance to the lowest polymorph of the same formula: 0.0 meV per atom.

(2)
Compound: LiSn2P3O12
Source: Alexandria
Functional: PBE
Structure: relaxed

Lattice parameters (Å, degrees): 8.768 12.217 8.881 90.00 90.00 90.00
Fractional positions:
Li 0.035 0.077 0.000
Li 0.465 0.077 0.500
Li 0.535 0.923 0.000
Li 0.965 0.923 0.500
Sn 0.000 0.377 0.749
Sn 0.000 0.623 0.249
Sn 0.003 0.859 0.824
Sn 0.497 0.859 0.324
Sn 0.500 0.377 0.249
Sn 0.500 0.623 0.749
Sn 0.503 0.141 0.824
Sn 0.997 0.141 0.324
P 0.144 0.103 0.679
P 0.150 0.398 0.399
P 0.210 0.744 0.532
P 0.290 0.744 0.032
P 0.350 0.398 0.899
P 0.356 0.103 0.179
P 0.644 0.897 0.679
P 0.650 0.602 0.399
P 0.710 0.256 0.532
P 0.790 0.256 0.032
P 0.850 0.602 0.899
P 0.856 0.897 0.179
O 0.071 0.465 0.275
O 0.079 0.021 0.799
O 0.085 0.065 0.521
O 0.091 0.216 0.725
O 0.094 0.822 0.617
O 0.100 0.431 0.558
O 0.114 0.275 0.373
O 0.116 0.664 0.439
O 0.175 0.411 0.891
O 0.179 0.093 0.177
O 0.191 0.681 0.142
O 0.201 0.826 0.931
O 0.299 0.826 0.431
O 0.309 0.681 0.642
O 0.321 0.093 0.677
O 0.325 0.411 0.391
O 0.384 0.664 0.939
O 0.386 0.275 0.873
O 0.400 0.431 0.058
O 0.406 0.822 0.117
O 0.409 0.216 0.225
O 0.415 0.065 0.021
O 0.421 0.021 0.299
O 0.429 0.465 0.775
O 0.571 0.535 0.275
O 0.579 0.979 0.799
O 0.585 0.935 0.521
O 0.591 0.784 0.725
O 0.594 0.178 0.617
O 0.600 0.569 0.558
O 0.614 0.725 0.373
O 0.616 0.336 0.439
O 0.675 0.589 0.891
O 0.679 0.907 0.177
O 0.691 0.319 0.142
O 0.701 0.174 0.931
O 0.799 0.174 0.431
O 0.809 0.319 0.642
O 0.821 0.907 0.677
O 0.825 0.589 0.391
O 0.884 0.336 0.939
O 0.886 0.725 0.873
O 0.900 0.569 0.058
O 0.906 0.178 0.117
O 0.909 0.784 0.225
O 0.915 0.935 0.021
O 0.921 0.979 0.299
O 0.929 0.535 0.775

As for the magnetic moment: 0.000 μB/atom. As for the formation energy (no corrections): -2.045 eV per atom. As for the distance to the lowest polymorph of the same formula: 16.5 meV per atom.

(3)
Compound: LiSnPO4
Source: Alexandria
Functional: PBE
Structure: relaxed

Lattice parameters (Å, degrees): 9.064 9.064 9.064 108.00 108.00 108.00
Fractional positions:
Li 0.024 0.192 0.784
Li 0.192 0.784 0.024
Li 0.299 0.703 0.500
Li 0.500 0.299 0.703
Li 0.703 0.500 0.299
Li 0.784 0.024 0.192
Sn 0.138 0.965 0.357
Sn 0.357 0.138 0.965
Sn 0.455 0.693 0.861
Sn 0.693 0.861 0.455
Sn 0.861 0.455 0.693
Sn 0.965 0.357 0.138
P 0.058 0.804 0.645
P 0.135 0.315 0.541
P 0.315 0.541 0.135
P 0.541 0.135 0.315
P 0.645 0.058 0.804
P 0.804 0.645 0.058
O 0.006 0.306 0.623
O 0.031 0.193 0.342
O 0.033 0.970 0.706
O 0.134 0.799 0.512
O 0.190 0.811 0.810
O 0.193 0.342 0.031
O 0.243 0.505 0.579
O 0.243 0.621 0.257
O 0.257 0.243 0.621
O 0.306 0.623 0.006
O 0.342 0.031 0.193
O 0.505 0.579 0.243
O 0.512 0.134 0.799
O 0.555 0.881 0.635
O 0.579 0.243 0.505
O 0.621 0.257 0.243
O 0.623 0.006 0.306
O 0.635 0.555 0.881
O 0.706 0.033 0.970
O 0.799 0.512 0.134
O 0.810 0.190 0.811
O 0.811 0.810 0.190
O 0.881 0.635 0.555
O 0.970 0.706 0.033

As for the magnetic moment: 0.000 μB/atom. As for the formation energy (no corrections): -1.998 eV per atom.

(4)
Compound: LiTiSnP3O12
Source: Alexandria
Functional: PBE
Structure: relaxed

Lattice parameters (Å, degrees): 8.719 8.719 8.719 59.85 59.85 59.85
Fractional positions:
Li 0.000 0.000 0.000
Li 0.500 0.500 0.500
Ti 0.363 0.363 0.363
Ti 0.863 0.863 0.863
Sn 0.148 0.148 0.148
Sn 0.648 0.648 0.648
P 0.052 0.466 0.751
P 0.251 0.966 0.552
P 0.466 0.751 0.052
P 0.552 0.251 0.966
P 0.751 0.052 0.466
P 0.966 0.552 0.251
O 0.004 0.632 0.808
O 0.068 0.275 0.915
O 0.086 0.951 0.740
O 0.132 0.504 0.308
O 0.194 0.997 0.396
O 0.240 0.451 0.586
O 0.275 0.915 0.068
O 0.308 0.132 0.504
O 0.396 0.194 0.997
O 0.415 0.775 0.568
O 0.451 0.586 0.240
O 0.497 0.694 0.896
O 0.504 0.308 0.132
O 0.568 0.415 0.775
O 0.586 0.240 0.451
O 0.632 0.808 0.004
O 0.694 0.896 0.497
O 0.740 0.086 0.951
O 0.775 0.568 0.415
O 0.808 0.004 0.632
O 0.896 0.497 0.694
O 0.915 0.068 0.275
O 0.951 0.740 0.086
O 0.997 0.396 0.194

As for the magnetic moment: 0.000 μB/atom. As for the formation energy (no corrections): -2.301 eV per atom.

(5)
Compound: Li2Ti3SnP6O24
Source: Alexandria
Functional: PBE
Structure: relaxed

Lattice parameters (Å, degrees): 8.669 8.669 8.669 59.89 59.89 59.89
Fractional positions:
Li 0.000 0.000 0.000
Li 0.497 0.497 0.497
Ti 0.137 0.137 0.137
Ti 0.353 0.353 0.353
Ti 0.637 0.637 0.637
Sn 0.854 0.854 0.854
P 0.037 0.450 0.745
P 0.249 0.954 0.532
P 0.450 0.745 0.037
P 0.532 0.249 0.954
P 0.745 0.037 0.450
P 0.954 0.532 0.249
O 0.014 0.612 0.792
O 0.047 0.264 0.916
O 0.083 0.947 0.723
O 0.114 0.485 0.312
O 0.190 0.994 0.371
O 0.228 0.421 0.583
O 0.264 0.916 0.047
O 0.312 0.114 0.485
O 0.371 0.190 0.994
O 0.411 0.761 0.553
O 0.421 0.583 0.228
O 0.485 0.312 0.114
O 0.499 0.691 0.870
O 0.553 0.411 0.761
O 0.583 0.228 0.421
O 0.612 0.792 0.014
O 0.691 0.870 0.499
O 0.723 0.083 0.947
O 0.761 0.553 0.411
O 0.792 0.014 0.612
O 0.870 0.499 0.691
O 0.916 0.047 0.264
O 0.947 0.723 0.083
O 0.994 0.371 0.190

As for the magnetic moment: 0.000 μB/atom. As for the formation energy (no corrections): -2.429 eV per atom.